1.
## NdSmY2Tm (GGA-PBE)

Data for crystalline NdSmY2Tm at its relaxed geometry.

The formation energy from the elements comes out at 9.122 kcal/mol of atoms. Its total DFT energy (no corrections) is -0.366 Ry/atom.

The space group is Cmcm (No. 63) and the conventional cell measures 8.465, 11.513 and 7.210 Å, with angles of 90.00, 90.00 and 90.00 degrees. The inequivalent atoms are Nd at (0.000, 0.230, 0.250), Sm at (0.000, 0.497, 0.250), Y at (0.188, 0.000, 0.000) and Tm at (0.000, 0.223, 0.750).

***

2.
## Ta2ReW (GGA-PBE)

Data for crystalline Ta2ReW at its relaxed geometry.

The formation energy from the elements comes out at -6.422 kcal/mol of atoms. Its total DFT energy (no corrections) is -0.923 Ry/atom.

The space group is P4/mmm (No. 123) and the conventional cell measures 3.220, 3.220 and 6.455 Å, with angles of 90.00, 90.00 and 90.00 degrees. The inequivalent atoms are Ta at (0.000, 0.000, 0.248), Re at (0.500, 0.500, 0.000) and W at (0.500, 0.500, 0.500).

***

3.
## Ta2BMoH (GGA-PBE)

Data for crystalline Ta2BMoH at its relaxed geometry.

Its energy above the most stable polymorph in this dataset is 1088 meV/atom. Its total DFT energy (no corrections) is -0.510 Ry/atom.

The space group is P4/mmm (No. 123) and the conventional cell measures 4.853, 4.853 and 4.081 Å, with angles of 90.00, 90.00 and 90.00 degrees. The inequivalent atoms are Ta at (0.000, 0.500, 0.000), B at (0.000, 0.000, 0.500), Mo at (0.000, 0.000, 0.000) and H at (0.500, 0.500, 0.500).

***

4.
## Sc5GeBi2 (GGA-PBE)

Data for crystalline Sc5GeBi2 at its relaxed geometry.

The formation energy from the elements comes out at -4.522 kcal/mol of atoms. Its total DFT energy (no corrections) is -0.419 Ry/atom.

The space group is Cmcm (No. 63) and the conventional cell measures 5.316, 14.561 and 12.854 Å, with angles of 90.00, 90.00 and 90.00 degrees. The inequivalent atoms are Sc at (0.000, 0.079, 0.116), Sc at (0.000, 0.287, 0.750), Sc at (0.000, 0.297, 0.052), Ge at (0.000, 0.214, 0.250) and Bi at (0.000, 0.125, 0.604).

***

5.
## In2SiPt (GGA-PBE)

Data for crystalline In2SiPt at its relaxed geometry.

For the uncorrected formation energy, the calculation gives 0.096 eV/atom. Its total DFT energy (no corrections) is -0.304 Ry/atom.

The space group is C2/m (No. 12) and the conventional cell measures 8.709, 3.954 and 4.918 Å, with angles of 90.00, 109.40 and 90.00 degrees. The inequivalent atoms are In at (0.244, 0.000, 0.239), Si at (0.000, 0.000, 0.500) and Pt at (0.000, 0.500, 0.000).

***

6.
## TlIr2C (GGA-PBE)

Data for crystalline TlIr2C at its relaxed geometry.

The formation energy from the elements comes out at 41.452 kcal/mol of atoms. Its energy above the most stable polymorph in this dataset is 1309 meV/atom. Its total DFT energy (no corrections) is -0.406 Ry/atom.

The space group is Fm-3m (No. 225) and the conventional cell measures 6.244, 6.244 and 6.244 Å, with angles of 90.00, 90.00 and 90.00 degrees. The inequivalent atoms are Tl at (0.000, 0.000, 0.000), Ir at (0.250, 0.250, 0.250) and C at (0.000, 0.000, 0.500).

***

7.
## PaBeGaCo2 (GGA-PBE)

Data for crystalline PaBeGaCo2 at its relaxed geometry.

The formation energy from the elements comes out at -3.090 kcal/mol of atoms. Its total DFT energy (no corrections) is -0.458 Ry/atom.

The space group is Cmme (No. 67) and the conventional cell measures 5.026, 12.328 and 4.661 Å, with angles of 90.00, 90.00 and 90.00 degrees. The inequivalent atoms are Pa at (0.000, 0.250, 0.206), Be at (0.250, 0.000, 0.500), Ga at (0.000, 0.000, 0.000) and Co at (0.000, 0.146, 0.662).

***

8.
## Tl2TeO6 (GGA-PBE)

Data for crystalline Tl2TeO6 at its relaxed geometry.

For the uncorrected formation energy, the calculation gives -0.807 eV/atom. Its energy above the most stable polymorph in this dataset is 16 meV/atom. Its total DFT energy (no corrections) is -0.367 Ry/atom.

The space group is P2_1/c (No. 14) and the conventional cell measures 5.654, 5.406 and 10.634 Å, with angles of 90.00, 122.12 and 90.00 degrees. The inequivalent atoms are Tl at (0.201, 0.000, 0.201), Te at (0.500, 0.000, 0.000), O at (0.196, 0.208, 0.846), O at (0.207, 0.689, 0.500) and O at (0.494, 0.706, 0.345).

***

9.
## KZrMo2Os (GGA-PBE)

Data for crystalline KZrMo2Os at its relaxed geometry.

The formation energy from the elements comes out at 41.251 kcal/mol of atoms. Its total DFT energy (no corrections) is -0.494 Ry/atom.

The space group is P4/mmm (No. 123) and the conventional cell measures 4.786, 4.786 and 5.289 Å, with angles of 90.00, 90.00 and 90.00 degrees. The inequivalent atoms are K at (0.000, 0.000, 0.000), Zr at (0.500, 0.500, 0.000), Mo at (0.000, 0.500, 0.500) and Os at (0.000, 0.000, 0.500).

***

10.
## KBa2Bi (GGA-PBE)

Data for crystalline KBa2Bi at its relaxed geometry.

The formation energy from the elements comes out at -10.936 kcal/mol of atoms. Its total DFT energy (no corrections) is -0.197 Ry/atom.

The space group is P4/mmm (No. 123) and the conventional cell measures 4.544, 4.544 and 10.292 Å, with angles of 90.00, 90.00 and 90.00 degrees. The inequivalent atoms are K at (0.000, 0.000, 0.000), Ba at (0.500, 0.500, 0.324) and Bi at (0.000, 0.000, 0.500).

***

11.
## B5C7 (GGA-PBE)

Data for crystalline B5C7 at its relaxed geometry.

The formation energy from the elements comes out at 10.392 kcal/mol of atoms. Its energy above the most stable polymorph in this dataset is 193 meV/atom. Its total DFT energy (no corrections) is -0.567 Ry/atom.

The space group is Pm (No. 6) and the conventional cell measures 4.571, 2.636 and 6.517 Å, with angles of 90.00, 93.84 and 90.00 degrees. The inequivalent atoms are B at (0.000, 0.000, 0.000), B at (0.040, 0.000, 0.720), B at (0.408, 0.000, 0.642), B at (0.805, 0.500, 0.681), B at (0.885, 0.500, 0.391), C at (0.192, 0.500, 0.079), C at (0.214, 0.500, 0.316), C at (0.384, 0.000, 0.395), C at (0.489, 0.500, 0.765), C at (0.499, 0.500, 0.998), C at (0.672, 0.000, 0.078) and C at (0.691, 0.000, 0.313).

***

12.
## HfNbIn3 (GGA-PBE)

Data for crystalline HfNbIn3 at its relaxed geometry.

The formation energy from the elements comes out at 23.125 kcal/mol of atoms. Its energy above the most stable polymorph in this dataset is 0 meV/atom. Its total DFT energy (no corrections) is -0.341 Ry/atom.

The space group is Pm-3m (No. 221) and the conventional cell measures 5.259, 5.259 and 5.259 Å, with angles of 90.00, 90.00 and 90.00 degrees. The inequivalent atoms are Hf at (0.000, 0.000, 0.000), Nb at (0.500, 0.500, 0.500) and In at (0.000, 0.500, 0.500).

***

13.
## NaCaGe (GGA-PBE)

Data for crystalline NaCaGe at its relaxed geometry.

The formation energy from the elements comes out at -4.922 kcal/mol of atoms. Its total DFT energy (no corrections) is -0.210 Ry/atom.

The space group is P3m1 (No. 156) and the conventional cell measures 4.9944, 4.9944 and 3.5652 Å, with angles of 90.00, 90.00 and 120.00 degrees. The inequivalent atoms are Na at (0.0000, 0.0000, 0.0000), Ca at (0.3333, 0.6667, 0.5007) and Ge at (0.6667, 0.3333, 0.0015).

***

14.
## YNbSb3 (GGA-PBE)

Data for crystalline YNbSb3 at its relaxed geometry.

For the uncorrected formation energy, the calculation gives 0.143 eV/atom. Its energy above the most stable polymorph in this dataset is 0 meV/atom. Its total DFT energy (no corrections) is -0.414 Ry/atom.

The space group is Pm-3m (No. 221) and the conventional cell measures 5.356, 5.356 and 5.356 Å, with angles of 90.00, 90.00 and 90.00 degrees. The inequivalent atoms are Y at (0.000, 0.000, 0.000), Nb at (0.500, 0.500, 0.500) and Sb at (0.000, 0.500, 0.500).

***

15.
## LiGa4Au2 (GGA-PBE)

Data for crystalline LiGa4Au2 at its relaxed geometry.

The formation energy from the elements comes out at -6.674 kcal/mol of atoms. Its total DFT energy (no corrections) is -0.237 Ry/atom.

The space group is Pnma (No. 62) and the conventional cell measures 15.898, 4.198 and 7.732 Å, with angles of 90.00, 90.00 and 90.00 degrees. The inequivalent atoms are Li at (0.149, 0.250, 0.106), Ga at (0.033, 0.750, 0.900), Ga at (0.062, 0.250, 0.469), Ga at (0.183, 0.750, 0.797), Ga at (0.195, 0.750, 0.393), Au at (0.043, 0.750, 0.252) and Au at (0.221, 0.250, 0.598).

***

16.
## Ho3ErTe3 (GGA-PBE)

Data for crystalline Ho3ErTe3 at its relaxed geometry.

For the uncorrected formation energy, the calculation gives -0.969 eV/atom. Its total DFT energy (no corrections) is -0.362 Ry/atom.

The space group is R-3 (No. 148, hexagonal axes) and the conventional cell measures 8.9255, 8.9255 and 17.5304 Å, with angles of 90.00, 90.00 and 120.00 degrees. The inequivalent atoms are Ho at (0.0100, 0.2439, 0.4135), Er at (0.0000, 0.0000, 0.1950) and Te at (0.0263, 0.4057, 0.5806).

***

17.
## Ba2CoReBr (GGA-PBE)

Data for crystalline Ba2CoReBr at its relaxed geometry.

For the uncorrected formation energy, the calculation gives 0.152 eV/atom. Its total DFT energy (no corrections) is -0.357 Ry/atom.

The space group is P4/mmm (No. 123) and the conventional cell measures 6.106, 6.106 and 4.412 Å, with angles of 90.00, 90.00 and 90.00 degrees. The inequivalent atoms are Ba at (0.000, 0.500, 0.000), Co at (0.000, 0.000, 0.500), Re at (0.000, 0.000, 0.000) and Br at (0.500, 0.500, 0.500).

***

18.
## Mg4Cd3Rh (GGA-PBE)

Data for crystalline Mg4Cd3Rh at its relaxed geometry.

The formation energy from the elements comes out at -5.487 kcal/mol of atoms. Its total DFT energy (no corrections) is -0.169 Ry/atom.

The space group is P4/mmm (No. 123) and the conventional cell measures 3.289, 3.289 and 14.587 Å, with angles of 90.00, 90.00 and 90.00 degrees. The inequivalent atoms are Mg at (0.000, 0.000, 0.097), Mg at (0.000, 0.000, 0.363), Cd at (0.500, 0.500, 0.227), Cd at (0.500, 0.500, 0.500) and Rh at (0.500, 0.500, 0.000).

***

19.
## LiCe2Pt (GGA-PBE)

Data for crystalline LiCe2Pt at its relaxed geometry.

The formation energy from the elements comes out at -4.034 kcal/mol of atoms. Its total DFT energy (no corrections) is -0.377 Ry/atom.

The space group is R-3m (No. 166, hexagonal axes) and the conventional cell measures 3.7991, 3.7991 and 31.4830 Å, with angles of 90.00, 90.00 and 120.00 degrees. The inequivalent atoms are Li at (0.0000, 0.0000, 0.0000), Ce at (0.0000, 0.0000, 0.1090) and Pt at (0.0000, 0.0000, 0.5000).

***

20.
## LaBePb3 (GGA-PBE)

Data for crystalline LaBePb3 at its relaxed geometry.

The formation energy from the elements comes out at 1.112 kcal/mol of atoms. Its energy above the most stable polymorph in this dataset is 0 meV/atom. Its total DFT energy (no corrections) is -0.287 Ry/atom.

The space group is Pm-3m (No. 221) and the conventional cell measures 5.184, 5.184 and 5.184 Å, with angles of 90.00, 90.00 and 90.00 degrees. The inequivalent atoms are La at (0.000, 0.000, 0.000), Be at (0.500, 0.500, 0.500) and Pb at (0.000, 0.500, 0.500).

***

The evaluated total magnetic moment for the records listed, in turn: 0.0 0.0 0.0 0.8 0.0 0.0 0.0 0.0 0.0 0.0 0.0 0.0 0.0 0.0 0.0 0.0 1.0 0.0 2.4 0.0 μB per formula unit.